A geometry-optimized CeS2 structure, computed with PBE.

Computed properties:
Total energy (eV/atom): -6.44
Total magnetic moment (μB/f.u.): 0.28
E_form (uncorrected) (eV/atom): -1.7095

a b c (Å): 4.0811 4.0811 7.6050
angles (deg): 90.00 90.00 90.00
Last column: nearest neighbours and their distance in Å.
Space group P4/nmm (No. 129, origin choice 2)
Inequivalent atoms, fractional coordinates:
1 Ce 0.2500 0.2500 0.2406 (multiplicity 2)  9 S 2.84-3.00
2 S 0.2500 0.2500 0.8648 (multiplicity 2)  5 Ce 2.86-3.00
3 S 0.2500 0.7500 0.5000 (multiplicity 2)  4 Ce 2.84, 4 S 2.89

***

A geometry-optimized EuThGe4 structure, computed with PBE.

Computed properties:
Total energy (eV/atom): -6.34
Total magnetic moment (μB/f.u.): 7.51
Energy relative to the elements (meV per atom): -315

a b c (Å): 8.0826 8.0826 8.0826
angles (deg): 90.00 90.00 90.00
Last column: nearest neighbours and their distance in Å.
Space group F-43m (No. 216)
Inequivalent atoms, fractional coordinates:
1 Eu 0.0000 0.0000 0.0000 (multiplicity 4)  12 Ge 3.35, 4 Th 3.50
2 Th 0.2500 0.2500 0.2500 (multiplicity 4)  12 Ge 3.35, 4 Eu 3.50
3 Ge 0.1247 0.1247 0.6247 (multiplicity 16)  6 Ge 2.85-2.86

***

A geometry-optimized NaSr2Sb3Pt4 structure, computed with PBE.

Computed properties:
Total energy (eV/atom): -4.87
Total magnetic moment (μB/f.u.): 0.00
E_form (uncorrected) (eV/atom): -0.7507

a b c (Å): 4.6720 4.6720 10.7656
angles (deg): 90.00 90.00 90.00
Last column: nearest neighbours and their distance in Å.
Space group P-4m2 (No. 115)
Inequivalent atoms, fractional coordinates:
1 Na 0.0000 0.0000 0.0000 (multiplicity 1)  4 Pt 2.75
2 Sr 0.0000 0.5000 0.7435 (multiplicity 2)  8 Pt 3.51-3.56, 6 Sb 3.54-3.62, 2 Na 3.62
3 Sb 0.0000 0.5000 0.3743 (multiplicity 2)  5 Pt 2.59-2.70
4 Sb 0.5000 0.5000 0.0000 (multiplicity 1)  4 Pt 2.75
5 Pt 0.0000 0.0000 0.5000 (multiplicity 1)  4 Sb 2.70
6 Pt 0.0000 0.5000 0.1340 (multiplicity 2)  3 Sb 2.59-2.75, 2 Na 2.75
7 Pt 0.5000 0.5000 0.5000 (multiplicity 1)  4 Sb 2.70

***

A geometry-optimized TcAgW structure, computed with PBE.

Computed properties:
Total energy (eV/atom): -8.34
Excess energy over the best structure of this formula in the dataset (eV/atom): 0.025
Total magnetic moment (μB/f.u.): 0.00
Energy relative to the elements (meV per atom): 381

a b c (Å): 4.5800 3.0537 7.0969
angles (deg): 90.00 98.46 90.00
Last column: nearest neighbours and their distance in Å.
Space group Cm (No. 8)
Inequivalent atoms, fractional coordinates:
1 Tc 0.0000 0.0000 0.0000 (multiplicity 2)  2 W 2.59, 4 Tc 2.75
2 Ag 0.2318 0.5000 0.3498 (multiplicity 2)  6 Ag 2.75-3.05, 3 Tc 2.93-2.97, 3 W 2.97-3.01
3 W 0.4390 0.0000 0.7028 (multiplicity 2)  2 Tc 2.59, 4 W 2.75

***

A geometry-optimized Mg3BeMo structure, computed with PBE.

Computed properties:
Total energy (eV/atom): -2.32
Excess energy over the best structure of this formula in the dataset (eV/atom): 0.592
Total magnetic moment (μB/f.u.): 2.66
Energy relative to the elements (meV per atom): 1552

a b c (Å): 5.1993 5.1993 5.1993
angles (deg): 90.00 90.00 90.00
Last column: nearest neighbours and their distance in Å.
Space group Pm-3m (No. 221)
Inequivalent atoms, fractional coordinates:
1 Mg 0.0000 0.0000 0.5000 (multiplicity 3)  2 Mo 2.60
2 Be 0.5000 0.5000 0.5000 (multiplicity 1)  12 Mg 3.68
3 Mo 0.0000 0.0000 0.0000 (multiplicity 1)  6 Mg 2.60

***

A geometry-optimized V12Zn3Ga structure, computed with PBE.

Computed properties:
Total energy (eV/atom): -7.28
Total magnetic moment (μB/f.u.): 2.48
Energy relative to the elements (meV per atom): -11

a b c (Å): 4.7710 4.7745 9.5353
angles (deg): 90.00 90.00 90.00
Last column: nearest neighbours and their distance in Å.
Space group Pmmm (No. 47)
Inequivalent atoms, fractional coordinates:
1 V 0.0000 0.0000 0.1223 (multiplicity 2)  2 V 2.33-2.39
2 V 0.0000 0.0000 0.3725 (multiplicity 2)  2 V 2.39-2.43, 2 Zn 2.66
3 V 0.2506 0.5000 0.2506 (multiplicity 4)  2 V 2.38-2.39, 1 Ga 2.66
4 V 0.5000 0.2494 0.5000 (multiplicity 2)  2 V 2.38-2.39, 2 Zn 2.67
5 V 0.5000 0.2504 0.0000 (multiplicity 2)  2 V 2.38-2.39, 4 Zn 2.67
6 Zn 0.0000 0.5000 0.0000 (multiplicity 1)  12 V 2.66-2.67
7 Zn 0.5000 0.0000 0.2499 (multiplicity 2)  12 V 2.66-2.68
8 Ga 0.0000 0.5000 0.5000 (multiplicity 1)  12 V 2.66-2.68

***

A geometry-optimized CaSnNO2 structure, computed with PBE.

Computed properties:
Total energy (eV/atom): -5.93
Total magnetic moment (μB/f.u.): 1.00
E_form (uncorrected) (eV/atom): -1.0788

a b c (Å): 4.1216 4.1216 4.1239
angles (deg): 90.00 90.00 90.00
Last column: nearest neighbours and their distance in Å.
Space group P4/mmm (No. 123)
Inequivalent atoms, fractional coordinates:
1 Ca 0.0000 0.0000 0.0000 (multiplicity 1)  4 N 2.91, 8 O 2.92
2 Sn 0.5000 0.5000 0.5000 (multiplicity 1)  4 O 2.06, 2 N 2.06
3 N 0.5000 0.5000 0.0000 (multiplicity 1)  2 Sn 2.06
4 O 0.0000 0.5000 0.5000 (multiplicity 2)  2 Sn 2.06

***

A geometry-optimized Pu6Ge3Pd structure, computed with PBE.

Computed properties:
Total energy (eV/atom): -10.81
Total magnetic moment (μB/f.u.): 23.06
Energy relative to the elements (meV per atom): -309

a b c (Å): 10.7154 10.8153 8.2641
angles (deg): 90.00 90.00 90.00
Last column: nearest neighbours and their distance in Å.
Space group Cmc2_1 (No. 36)
Inequivalent atoms, fractional coordinates:
1 Pu 0.0000 0.1727 0.0000 (multiplicity 4)  5 Ge 3.03-3.09, 1 Pd 3.08
2 Pu 0.0000 0.1742 0.4921 (multiplicity 4)  1 Pd 2.98, 5 Ge 3.01-3.09
3 Pu 0.1739 0.4978 0.9967 (multiplicity 8)  4 Ge 3.01-3.10, 2 Pd 3.04-3.09
4 Pu 0.2492 0.2466 0.2474 (multiplicity 8)  3 Ge 2.99-3.05, 1 Pd 3.04
5 Ge 0.0000 0.3745 0.7448 (multiplicity 4)  1 Pd 2.64
6 Ge 0.1211 0.0048 0.7471 (multiplicity 8)  1 Ge 2.59
7 Pd 0.0000 0.3812 0.2533 (multiplicity 4)  1 Ge 2.64

***

A geometry-optimized Ho5RhS4 structure, computed with PBE.

Computed properties:
Total energy (eV/atom): -6.39
Total magnetic moment (μB/f.u.): 0.00
E_form (uncorrected) (eV/atom): -1.7111

a b c (Å): 3.9106 3.9106 27.8627
angles (deg): 90.00 90.00 90.00
Last column: nearest neighbours and their distance in Å.
Space group I4/mmm (No. 139)
Inequivalent atoms, fractional coordinates:
1 Ho 0.0000 0.0000 0.0000 (multiplicity 2)  4 Rh 2.77, 2 S 2.90
2 Ho 0.0000 0.0000 0.2030 (multiplicity 4)  6 S 2.76-2.77
3 Ho 0.0000 0.0000 0.4011 (multiplicity 4)  1 Rh 2.76, 5 S 2.76-2.77
4 Rh 0.0000 0.0000 0.5000 (multiplicity 2)  6 Ho 2.76-2.77
5 S 0.0000 0.0000 0.1041 (multiplicity 4)  6 Ho 2.76-2.90
6 S 0.0000 0.0000 0.3019 (multiplicity 4)  6 Ho 2.76-2.77

***

A geometry-optimized SmGdHoCd structure, computed with PBE.

Computed properties:
Total energy (eV/atom): -6.11
Total magnetic moment (μB/f.u.): 7.76
Energy relative to the elements (meV per atom): -41

a b c (Å): 7.7604 7.7604 7.7604
angles (deg): 90.00 90.00 90.00
Last column: nearest neighbours and their distance in Å.
Space group F-43m (No. 216)
Inequivalent atoms, fractional coordinates:
1 Sm 0.0000 0.0000 0.0000 (multiplicity 4)  4 Cd 3.36, 4 Ho 3.36
2 Gd 0.0000 0.0000 0.5000 (multiplicity 4)  4 Cd 3.36, 4 Ho 3.36
3 Ho 0.2500 0.2500 0.2500 (multiplicity 4)  4 Gd 3.36, 4 Sm 3.36
4 Cd 0.2500 0.2500 0.7500 (multiplicity 4)  4 Gd 3.36, 4 Sm 3.36

***

A geometry-optimized La6Pr8Ho structure, computed with PBE.

Computed properties:
Total energy (eV/atom): -4.60
Excess energy over the best structure of this formula in the dataset (eV/atom): 0.133
Total magnetic moment (μB/f.u.): 0.00
Energy relative to the elements (meV per atom): 229

a b c (Å): 9.0106 9.0106 24.4156
angles (deg): 90.00 90.00 120.00
Last column: nearest neighbours and their distance in Å.
Space group R-3 (No. 148, hexagonal axes)
Inequivalent atoms, fractional coordinates:
1 La 0.0122 0.7672 0.1270 (multiplicity 18)  3 Pr 3.37-3.71, 3 La 3.40-3.73, 1 Ho 3.78
2 Pr 0.0000 0.0000 0.2461 (multiplicity 6)  6 La 3.62-3.71, 6 Pr 3.63-3.81
3 Pr 0.0125 0.7617 0.6361 (multiplicity 18)  1 Pr 3.17, 1 La 3.37, 1 Ho 3.48
4 Ho 0.0000 0.0000 0.0000 (multiplicity 3)  6 Pr 3.48, 6 La 3.78

***

A geometry-optimized CdBrO2 structure, computed with PBE.

Computed properties:
Total energy (eV/atom): -3.35
Excess energy over the best structure of this formula in the dataset (eV/atom): 0.213
Total magnetic moment (μB/f.u.): 0.95
E_form (uncorrected) (eV/atom): -0.2283

a b c (Å): 3.5374 3.5374 6.4194
angles (deg): 90.00 90.00 120.00
Last column: nearest neighbours and their distance in Å.
Space group P3m1 (No. 156)
Inequivalent atoms, fractional coordinates:
1 Cd 0.0000 0.0000 0.0000 (multiplicity 1)  6 O 2.21-2.47
2 Br 0.3333 0.6667 0.5020 (multiplicity 1)  1 O 1.81
3 O 0.3333 0.6667 0.7833 (multiplicity 1)  1 Br 1.81
4 O 0.6667 0.3333 0.1330 (multiplicity 1)  3 Cd 2.21

***

Number 7 is which compound? CaSnNO2